A:
Below is crystalline NaTa2Pd2 at its relaxed geometry, with properties calculated at the PBE level.

```
NaTa2Pd2
1.0
-2.9812 -2.1779 3.0613
3.6681 -0.8424 2.9728
-0.4501 2.5828 5.1561
Na Pd Ta
1 2 2
Direct
0.0000 0.0000 0.0000 Na
0.7500 0.2500 0.5000 Pd
0.2500 0.7500 0.5000 Pd
0.3596 0.3596 0.2808 Ta
0.6404 0.6404 0.7192 Ta
```

Mass density: 9.2 g/cm³

B:
Below is crystalline NaTa2Pd2 at its relaxed geometry, with properties calculated at the PBE level.

```
NaTa2Pd2
1.0
-4.1664 -6.9375 1.1744
5.2755 -2.1768 5.8564
-1.5859 1.2744 1.9023
Ta Pd Na
4 4 2
Direct
0.1192 0.6192 0.5000 Ta
0.3808 0.1192 0.5000 Ta
0.8808 0.3808 0.5000 Ta
0.6192 0.8808 0.5000 Ta
0.8262 0.6738 0.0000 Pd
0.6738 0.1738 0.0000 Pd
0.1738 0.3262 0.0000 Pd
0.3262 0.8262 0.0000 Pd
0.5000 0.5000 0.0000 Na
0.0000 0.0000 0.0000 Na
```

Mass density: 10.7 g/cm³

B is preferred energetically. Next in line: 0.494 eV/atom higher.

A:
Below is crystalline Na3TaPd at its relaxed geometry, with properties calculated at the PBE level.

```
Na3TaPd
1.0
-1.9714 4.2132 2.1970
-4.7504 -1.8026 -0.8057
0.1099 -2.3375 4.5813
Na Ta Pd
3 1 1
Direct
0.5000 0.0000 0.0000 Na
0.0000 0.5000 0.0000 Na
0.0000 0.0000 0.5000 Na
0.5000 0.5000 0.5000 Ta
0.0000 0.0000 0.0000 Pd
```

Mass density: 4.3 g/cm³

B:
Below is crystalline Na3TaPd at its relaxed geometry, with properties calculated at the PBE level.

```
Na3TaPd
1.0
-5.7373 -0.8813 0.0405
0.8698 -5.6058 1.2303
-0.1477 1.2220 5.6727
Na Ta Pd
3 1 1
Direct
0.0000 0.5000 0.0000 Na
0.5000 0.0000 0.0000 Na
0.0000 0.0000 0.5000 Na
0.0000 0.0000 0.0000 Ta
0.5000 0.5000 0.5000 Pd
```

Mass density: 3.0 g/cm³

A is preferred energetically. Next in line: 0.365 eV/atom higher.

A:
Below is crystalline NaTa2Pd at its relaxed geometry, with properties calculated at the PBE level.

```
NaTa2Pd
1.0
-0.9184 -2.4709 -2.8106
0.1246 -2.9126 2.5198
-10.4454 -1.3225 1.9342
Ta Na Pd
4 2 2
Direct
0.1142 0.6250 0.2500 Ta
0.8750 0.8858 0.7500 Ta
0.6358 0.1250 0.2500 Ta
0.3750 0.3642 0.7500 Ta
0.5000 0.5000 0.0000 Na
0.2500 0.7500 0.5000 Na
0.7500 0.2500 0.5000 Pd
0.0000 0.0000 0.0000 Pd
```

Mass density: 10.6 g/cm³

B:
Below is crystalline NaTa2Pd at its relaxed geometry, with properties calculated at the PBE level.

```
NaTa2Pd
1.0
0.0000 3.2767 3.2767
3.2767 0.0000 3.2767
3.2767 3.2767 0.0000
Pd Na Ta
1 1 2
Direct
0.5000 0.5000 0.5000 Pd
0.0000 0.0000 0.0000 Na
0.2500 0.2500 0.2500 Ta
0.7500 0.7500 0.7500 Ta
```

Mass density: 11.6 g/cm³

B is preferred energetically. Next in line: 0.021 eV/atom higher.

A:
Below is crystalline NaTbPd2 at its relaxed geometry, with properties calculated at the PBE level.

```
NaTbPd2
1.0
4.8559 0.0000 0.0000
2.4279 4.2053 0.0000
2.4279 1.4018 3.9648
Pd Tb Na
2 1 1
Direct
0.7500 0.7500 0.7500 Pd
0.2500 0.2500 0.2500 Pd
0.0000 0.0000 0.0000 Tb
0.5000 0.5000 0.5000 Na
```

Mass density: 8.1 g/cm³

B:
Below is crystalline NaTbPd2 at its relaxed geometry, with properties calculated at the PBE level.

```
NaTbPd2
1.0
-3.0871 -0.6033 -1.4241
-1.2068 -1.0490 3.0603
-2.0141 6.7328 1.5138
Na Tb Pd
1 1 2
Direct
0.5000 0.5000 0.5000 Na
0.5000 0.5000 0.0000 Tb
0.0000 0.0000 0.7725 Pd
0.0000 0.0000 0.2275 Pd
```

Mass density: 7.6 g/cm³

B is preferred energetically. Next in line: 0.024 eV/atom higher.

A:
Below is crystalline NaTc2Pd at its relaxed geometry, with properties calculated at the PBE level.

```
NaTc2Pd
1.0
0.0000 3.1534 3.1534
3.1534 0.0000 3.1534
3.1534 3.1534 0.0000
Na Tc Pd
1 2 1
Direct
0.0000 0.0000 0.0000 Na
0.2500 0.2500 0.2500 Tc
0.7500 0.7500 0.7500 Tc
0.5000 0.5000 0.5000 Pd
```

Mass density: 8.6 g/cm³

B:
Below is crystalline NaTc2Pd at its relaxed geometry, with properties calculated at the PBE level.

```
NaTc2Pd
1.0
-3.5448 -0.6711 -6.7483
-3.8725 -6.0506 2.6359
-5.4778 -1.8876 -1.2734
Tc Na Pd
4 2 2
Direct
0.3750 0.3349 0.7500 Tc
0.6651 0.1250 0.2500 Tc
0.0849 0.6250 0.2500 Tc
0.8750 0.9151 0.7500 Tc
0.5000 0.5000 0.0000 Na
0.2500 0.7500 0.5000 Na
0.0000 0.0000 0.0000 Pd
0.7500 0.2500 0.5000 Pd
```

Mass density: 7.6 g/cm³

A is preferred energetically. Next in line: 0.015 eV/atom higher.

A:
Below is crystalline NaTcPd at its relaxed geometry, with properties calculated at the PBE level.

```
NaTcPd
1.0
-2.3910 -3.9606 0.8931
4.6470 0.1688 0.7604
-0.4262 0.8043 2.4260
Pd Tc Na
1 1 1
Direct
0.3333 0.6667 0.0000 Pd
0.0000 0.0000 0.0000 Tc
0.6667 0.3333 0.5000 Na
```

Mass density: 7.6 g/cm³

B:
Below is crystalline NaTcPd at its relaxed geometry, with properties calculated at the PBE level.

```
NaTcPd
1.0
-1.0154 -1.7592 3.2172
7.5470 -0.8448 1.9200
3.1817 2.0404 4.3698
Tc Na Pd
2 2 2
Direct
0.1242 0.9615 0.2516 Tc
0.6242 0.7869 0.2516 Tc
0.9659 0.3675 0.5683 Na
0.4659 0.0642 0.5683 Na
0.7870 0.6583 0.9259 Pd
0.2870 0.4158 0.9259 Pd
```

Mass density: 6.7 g/cm³

C:
Below is crystalline NaTcPd at its relaxed geometry, with properties calculated at the PBE level.

```
NaTcPd
1.0
-2.3246 -1.8934 2.0269
2.7634 -1.3536 1.9048
-0.5699 6.6233 5.5335
Pd Tc Na
2 2 2
Direct
0.0000 0.5000 0.7347 Pd
0.5000 0.0000 0.2653 Pd
0.0000 0.0000 0.5000 Tc
0.5000 0.5000 0.5000 Tc
0.5000 0.0000 0.8747 Na
0.0000 0.5000 0.1253 Na
```

Mass density: 6.7 g/cm³

D:
Below is crystalline NaTcPd at its relaxed geometry, with properties calculated at the PBE level.

```
NaTcPd
1.0
-1.1660 5.1618 0.3029
-2.6067 -0.6236 0.5924
1.7638 -0.9312 6.7805
Pd Na Tc
2 2 2
Direct
0.5973 0.0000 0.4186 Pd
0.0817 0.0000 0.0039 Pd
0.2208 0.0000 0.6698 Na
0.0542 0.5000 0.3291 Na
0.5395 0.5000 0.0485 Tc
0.7171 0.5000 0.7760 Tc
```

Mass density: 7.4 g/cm³

D is preferred energetically. Next in line: 0.044 eV/atom higher.

A:
Below is crystalline NaTcPd at its relaxed geometry, with properties calculated at the PBE level.

```
NaTcPd
1.0
-2.3204 1.1089 4.6615
0.8527 -5.0620 -1.4116
8.6097 0.2733 4.2207
Pd Na Tc
2 2 2
Direct
0.0000 0.0000 0.0000 Pd
0.0000 0.0000 0.5000 Pd
0.6667 0.3333 0.7500 Na
0.3333 0.6667 0.2500 Na
0.0000 0.0000 0.2500 Tc
0.0000 0.0000 0.7500 Tc
```

Mass density: 3.2 g/cm³

B:
Below is crystalline NaTcPd at its relaxed geometry, with properties calculated at the PBE level.

```
NaTcPd
1.0
10.7100 0.0000 0.0150
0.0000 3.7364 0.0000
-0.0552 0.0000 2.8501
Na Pd Tc
2 2 2
Direct
0.1309 0.2500 0.2615 Na
0.8691 0.7500 0.7385 Na
0.6995 0.2500 0.2294 Pd
0.3005 0.7500 0.7706 Pd
0.5533 0.7500 0.6963 Tc
0.4467 0.2500 0.3037 Tc
```

Mass density: 6.6 g/cm³

B is preferred energetically. Next in line: 1.780 eV/atom higher.

A:
Below is crystalline NaTcPd at its relaxed geometry, with properties calculated at the PBE level.

```
NaTcPd
1.0
2.8236 0.0081 -0.0075
1.4084 2.4514 -0.0074
0.6512 -0.2849 14.8806
Na Tc Pd
2 2 2
Direct
0.4421 0.5896 0.6238 Na
0.3202 0.1617 0.8445 Na
0.5284 0.5506 0.3033 Tc
0.2328 0.2002 0.1650 Tc
0.8171 0.9042 0.4580 Pd
0.9439 0.8469 0.0102 Pd
```

Mass density: 7.3 g/cm³

B:
Below is crystalline NaTcPd at its relaxed geometry, with properties calculated at the PBE level.

```
NaTcPd
1.0
-6.3396 -1.4968 16.8675
-4.2296 1.4293 6.5254
1.6901 -1.7949 -7.5123
Na Tc Pd
2 2 2
Direct
0.8482 0.2785 0.7215 Na
0.2383 0.0170 0.9830 Na
0.4339 0.1138 0.8862 Tc
0.7978 0.6395 0.3605 Tc
0.6800 0.1317 0.8683 Pd
0.2123 0.7319 0.2681 Pd
```

Mass density: 6.7 g/cm³

C:
Below is crystalline NaTcPd at its relaxed geometry, with properties calculated at the PBE level.

```
NaTcPd
1.0
10.5921 0.0000 -0.0190
3.5865 1.5158 -3.4662
-3.5865 1.5158 3.4662
Tc Na Pd
2 2 2
Direct
0.4839 0.8496 0.1504 Tc
0.5161 0.1504 0.8496 Tc
0.8965 0.4506 0.5494 Na
0.1035 0.5494 0.4506 Na
0.2812 0.6800 0.3200 Pd
0.7188 0.3200 0.6800 Pd
```

Mass density: 6.8 g/cm³

A is preferred energetically. Next in line: 0.078 eV/atom higher.

A:
Below is crystalline NaTcPd at its relaxed geometry, with properties calculated at the PBE level.

```
NaTcPd
1.0
2.7218 -0.0040 0.0056
-0.0049 4.6833 0.0259
0.3467 -1.8078 7.8642
Pd Na Tc
2 2 2
Direct
0.0301 0.6435 0.5838 Pd
0.4977 0.8648 0.8846 Pd
0.0153 0.3811 0.9224 Na
0.5126 0.1272 0.5457 Na
0.5980 0.5241 0.2854 Tc
0.9296 0.9845 0.1829 Tc
```

Mass density: 7.5 g/cm³

B:
Below is crystalline NaTcPd at its relaxed geometry, with properties calculated at the PBE level.

```
NaTcPd
1.0
5.7134 0.0000 0.0000
0.0000 4.8345 0.0000
0.0000 0.0000 8.0029
Pd Na Tc
4 4 4
Direct
0.7501 0.7500 0.7500 Pd
0.7499 0.2500 0.2500 Pd
0.2499 0.2500 0.2500 Pd
0.2501 0.7500 0.7500 Pd
0.9999 0.7500 0.3801 Na
0.0001 0.2500 0.6199 Na
0.4999 0.7500 0.1199 Na
0.5001 0.2500 0.8801 Na
0.0000 0.5000 0.0000 Tc
0.0000 0.0000 0.0000 Tc
0.5000 0.0000 0.5000 Tc
0.5000 0.5000 0.5000 Tc
```

Mass density: 6.8 g/cm³

A is preferred energetically. Next in line: 0.142 eV/atom higher.

A:
Below is crystalline NaTc3Pd at its relaxed geometry, with properties calculated at the PBE level.

```
NaTc3Pd
1.0
4.4242 0.0000 0.0000
0.0000 4.4242 0.0000
0.0000 0.0000 4.4242
Tc Pd Na
3 1 1
Direct
0.5000 0.0000 0.0000 Tc
0.0000 0.0000 0.5000 Tc
0.0000 0.5000 0.0000 Tc
0.5000 0.5000 0.5000 Pd
0.0000 0.0000 0.0000 Na
```

Mass density: 8.1 g/cm³

B:
Below is crystalline NaTc3Pd at its relaxed geometry, with properties calculated at the PBE level.

```
NaTc3Pd
1.0
-1.2338 -4.5354 1.4827
4.5610 -1.5709 -1.0100
1.4020 1.1193 4.5905
Tc Pd Na
3 1 1
Direct
0.0000 0.0000 0.5000 Tc
0.0000 0.5000 0.0000 Tc
0.5000 0.0000 0.0000 Tc
0.0000 0.0000 0.0000 Pd
0.5000 0.5000 0.5000 Na
```

Mass density: 5.9 g/cm³

B is preferred energetically. Next in line: 0.513 eV/atom higher.

A:
Below is crystalline NaTe2Pd3 at its relaxed geometry, with properties calculated at the PBE level.

```
NaTe2Pd3
1.0
4.2889 0.0000 0.0000
-2.1445 8.6089 -2.6679
0.0000 0.0571 10.5121
Na Te Pd
3 6 9
Direct
0.0000 0.0000 0.0000 Na
0.1655 0.3310 0.7135 Na
0.8345 0.6690 0.2865 Na
0.4584 0.9168 0.2233 Te
0.1940 0.3881 0.1280 Te
0.3632 0.7264 0.5442 Te
0.6368 0.2736 0.4558 Te
0.5416 0.0832 0.7767 Te
0.8060 0.6119 0.8720 Te
0.9495 0.8989 0.6820 Pd
0.6823 0.3645 0.9655 Pd
0.6177 0.2354 0.1900 Pd
0.3823 0.7646 0.8100 Pd
0.2185 0.4369 0.3936 Pd
0.7815 0.5631 0.6064 Pd
0.0505 0.1011 0.3180 Pd
0.3177 0.6355 0.0345 Pd
0.5000 0.0000 0.5000 Pd
```

Mass density: 7.7 g/cm³

B:
Below is crystalline NaTe2Pd3 at its relaxed geometry, with properties calculated at the PBE level.

```
NaTe2Pd3
1.0
4.2274 0.0000 0.0000
-2.1137 7.9458 -0.7066
0.0000 -4.2768 8.7652
Na Pd Te
2 6 4
Direct
0.1307 0.2615 0.1461 Na
0.8693 0.7385 0.8539 Na
0.0325 0.0651 0.3681 Pd
0.5926 0.1852 0.6333 Pd
0.9675 0.9349 0.6319 Pd
0.4074 0.8148 0.3667 Pd
0.6714 0.3427 0.4301 Pd
0.3286 0.6573 0.5699 Pd
0.8008 0.6016 0.3387 Te
0.1992 0.3984 0.6613 Te
0.4759 0.9519 0.1697 Te
0.5241 0.0481 0.8303 Te
```

Mass density: 7.0 g/cm³

A is preferred energetically. Next in line: 0.028 eV/atom higher.